(1)
VASP calculation (PBE) on an optimized crystal structure of ZrOsSe.

a = 9.1259 Å, b = 3.6392 Å, c = 9.1307 Å
α = 78.43°, β = 23.00°, γ = 78.58°
Closest atoms and distances in Å follow each position.
Element x y z (fractional)
Zr1 0.1327 0.8673 0.1327  5 Se 2.76-3.08, 4 Os 2.93-2.98
Zr2 0.8673 0.1327 0.8673  5 Se 2.76-3.08, 4 Os 2.93-2.98
Os1 0.0469 0.5109 0.9531  3 Os 2.40-2.57
Os2 0.5109 0.0469 0.4891  3 Os 2.40-2.57
Se1 0.3083 0.6910 0.3090  5 Zr 2.76-3.08
Se2 0.6910 0.3083 0.6917  5 Zr 2.76-3.08

Values from the calculation:
As for the uncorrected formation energy: -570 meV/atom.



(2)
VASP calculation (PBE) on an optimized crystal structure of Y4TlPt.

a = 9.7673 Å, b = 9.7673 Å, c = 9.7673 Å
α = 60.00°, β = 60.00°, γ = 60.00°
Closest atoms and distances in Å follow each position.
Element x y z (fractional)
Y1 0.0612 0.0612 0.4388  2 Pt 2.87
Y2 0.0612 0.4388 0.0612  2 Pt 2.87
Y3 0.0612 0.4388 0.4388  2 Pt 2.87
Y4 0.1889 0.1889 0.8111  2 Tl 3.21, 2 Y 3.51, 2 Pt 3.51
Y5 0.1889 0.8111 0.1889  2 Tl 3.21, 2 Y 3.51, 2 Pt 3.51
Y6 0.1889 0.8111 0.8111  2 Tl 3.21, 2 Y 3.51, 2 Pt 3.51
Y7 0.1941 0.6020 0.6020  3 Pt 2.88
Y8 0.4388 0.0612 0.0612  2 Pt 2.87
Y9 0.4388 0.0612 0.4388  2 Pt 2.87
Y10 0.4388 0.4388 0.0612  2 Pt 2.87
Y11 0.6020 0.1941 0.6020  3 Pt 2.88
Y12 0.6020 0.6020 0.1941  3 Pt 2.88
Y13 0.6020 0.6020 0.6020  3 Pt 2.88
Y14 0.8111 0.1889 0.1889  2 Tl 3.21, 2 Y 3.51, 2 Pt 3.51
Y15 0.8111 0.1889 0.8111  2 Tl 3.21, 2 Y 3.51, 2 Pt 3.51
Y16 0.8111 0.8111 0.1889  2 Tl 3.21, 2 Y 3.51, 2 Pt 3.51
Tl1 0.4902 0.8366 0.8366  9 Y 3.21-3.53, 3 Tl 3.38
Tl2 0.8366 0.4902 0.8366  9 Y 3.21-3.53, 3 Tl 3.38
Tl3 0.8366 0.8366 0.4902  9 Y 3.21-3.53, 3 Tl 3.38
Tl4 0.8366 0.8366 0.8366  9 Y 3.21-3.53, 3 Tl 3.38
Pt1 0.3933 0.3933 0.3933  6 Y 2.87-2.88
Pt2 0.3933 0.3933 0.8201  6 Y 2.87-2.88
Pt3 0.3933 0.8201 0.3933  6 Y 2.87-2.88
Pt4 0.8201 0.3933 0.3933  6 Y 2.87-2.88

Values from the calculation:
The calculation puts the polymorph energy (0 for the lowest one) at 0 meV per atom. The formation energy comes out at -0.64 eV per atom.



(3)
VASP calculation (PBE) on an optimized crystal structure of LiIn2Ag5.

a = 5.8219 Å, b = 5.8219 Å, c = 5.7603 Å
α = 111.26°, β = 111.26°, γ = 105.59°
Closest atoms and distances in Å follow each position.
Element x y z (fractional)
Li1 0.0000 0.0000 0.0000  9 Ag 2.85-3.14, 2 In 3.12
In1 0.4494 0.9830 0.4855  9 Ag 2.89-3.04, 1 Li 3.12
In2 0.9830 0.4494 0.4855  9 Ag 2.89-3.04, 1 Li 3.12
Ag1 0.4198 0.4198 0.9490  8 Ag 2.90-2.95, 2 In 3.04, 1 Li 3.14
Ag2 0.4838 0.9526 0.9875  4 In 2.89-2.93, 2 Li 2.91-2.93, 4 Ag 2.92-3.09
Ag3 0.5119 0.5119 0.5116  2 Li 2.85-2.99, 5 Ag 2.90-3.09, 4 In 2.91-2.94
Ag4 0.9176 0.9176 0.4501  2 Li 2.86-2.98, 5 Ag 2.91-3.08, 4 In 2.92-2.94
Ag5 0.9526 0.4838 0.9875  4 In 2.89-2.93, 2 Li 2.91-2.93, 4 Ag 2.92-3.09

Values from the calculation:
The calculation puts the polymorph energy (0 for the lowest one) at 0 meV per atom. The formation energy comes out at -0.09 eV per atom.



(4)
VASP calculation (PBE) on an optimized crystal structure of SrOs2Ru.

a = 4.8103 Å, b = 4.8103 Å, c = 5.9982 Å
α = 100.22°, β = 100.22°, γ = 34.75°
Closest atoms and distances in Å follow each position.
Element x y z (fractional)
Sr1 0.0000 0.0000 0.0000  2 Sr 2.87, 3 Ru 3.03-3.16
Os1 0.2291 0.2291 0.6352  2 Ru 2.53, 3 Os 2.57-2.67
Os2 0.4954 0.4954 0.5168  5 Os 2.57-2.87, 2 Ru 2.63
Ru1 0.7721 0.7721 0.3054  4 Os 2.53-2.63

Values from the calculation:
The calculation puts the polymorph energy (0 for the lowest one) at 62 meV per atom. The formation energy comes out at 0.67 eV per atom.



(5)
VASP calculation (PBE) on an optimized crystal structure of Pr2Dy2YTm2.

a = 12.0421 Å, b = 12.0421 Å, c = 12.0421 Å
α = 163.10°, β = 153.27°, γ = 31.79°
Closest atoms and distances in Å follow each position.
Element x y z (fractional)
Pr1 0.0717 0.0717 0.0000  2 Dy 3.27, 3 Pr 3.32-3.54, 2 Tm 3.65
Pr2 0.9283 0.9283 0.0000  2 Dy 3.27, 3 Pr 3.32-3.54, 2 Tm 3.65
Dy1 0.3544 0.8544 0.5000  2 Pr 3.27, 5 Tm 3.35-3.62, 2 Dy 3.54
Dy2 0.6456 0.1456 0.5000  2 Pr 3.27, 5 Tm 3.35-3.62, 2 Dy 3.54
Y1 0.5000 0.5000 0.0000  2 Y 3.54, 8 Pr 3.69, 4 Dy 3.81
Tm1 0.2096 0.7096 0.5000  5 Dy 3.35-3.62, 2 Tm 3.54, 2 Pr 3.65
Tm2 0.7904 0.2904 0.5000  5 Dy 3.35-3.62, 2 Tm 3.54, 2 Pr 3.65

Values from the calculation:
The formation energy comes out at 0.07 eV per atom.



(6)
VASP calculation (PBE) on an optimized crystal structure of AlNi4As3.

a = 3.6562 Å, b = 3.6562 Å, c = 9.9006 Å
α = 90.00°, β = 90.00°, γ = 120.00°
Closest atoms and distances in Å follow each position.
Element x y z (fractional)
Al1 0.0000 0.0000 0.0000  6 Ni 2.46
Ni1 0.3333 0.6667 0.1266  3 As 2.39, 2 Ni 2.45-2.51, 3 Al 2.46
Ni2 0.3333 0.6667 0.3743  6 As 2.45-2.49, 2 Ni 2.45-2.49
Ni3 0.3333 0.6667 0.6257  6 As 2.45-2.49, 2 Ni 2.45-2.49
Ni4 0.3333 0.6667 0.8734  3 As 2.39, 2 Ni 2.45-2.51, 3 Al 2.46
As1 0.0000 0.0000 0.5000  6 Ni 2.45
As2 0.6667 0.3333 0.2403  6 Ni 2.39-2.49
As3 0.6667 0.3333 0.7597  6 Ni 2.39-2.49

Values from the calculation:
The formation energy comes out at -0.33 eV per atom.



| no. | magnetization (μB per atom) | N(E_F) (states/eV/atom) | density (g/cm3) |
| --- | --- | --- | --- |
| 1 | 0.00 | 0.3378 | 10.3 |
| 2 | 0.00 | 0.8785 | 7.6 |
| 3 | 0.00 | 0.2779 | 8.6 |
| 4 | 0.00 | 1.1721 | 12.2 |
| 5 | 0.00 | 1.8005 | 7.5 |
| 6 | 0.00 | 0.6555 | 7.0 |